A PBEsol-optimized structure of TcAs2Se. Source: Alexandria, functional SCAN.

Cell: 4.123 4.123 7.632 Å, 90.00 90.00 90.00°
Space group I4/mmm (No. 139)
Asymmetric unit:
Tc 0.000 0.000 0.000 x2
As 0.000 0.500 0.250 x4
Se 0.000 0.000 0.500 x2

Calculated values
- E above lowest polymorph (meV per atom) = 553


A PBEsol-optimized structure of TaNb2InBi. Source: Alexandria, functional SCAN.

Cell: 4.999 4.999 5.248 Å, 90.00 90.00 90.00°
Space group P4/mmm (No. 123)
Asymmetric unit:
Ta 0.000 0.000 0.000 x1
Nb 0.000 0.500 0.500 x2
In 0.500 0.500 0.500 x1
Bi 0.500 0.500 0.000 x1

Calculated values
- energy (eV/atom) = -46.820


A PBEsol-optimized structure of ZrScCu2. Source: Alexandria, functional SCAN.

Cell: 3.237 3.237 6.367 Å, 90.00 90.00 90.00°
Space group P4mm (No. 99)
Asymmetric unit:
Zr 0.000 0.000 0.000 x1
Sc 0.500 0.500 0.676 x1
Cu 0.000 0.000 0.434 x1
Cu 0.500 0.500 0.247 x1

Calculated values
- E above lowest polymorph (meV per atom) = 136


A PBEsol-optimized structure of BaBr2. Source: Alexandria, functional SCAN.

Cell: 8.178 4.925 9.879 Å, 90.00 90.00 90.00°
Space group Pnma (No. 62)
Asymmetric unit:
Ba 0.247 0.250 0.118 x4
Br 0.028 0.250 0.830 x4
Br 0.143 0.250 0.430 x4

Calculated values
- energy (eV/atom) = -28.626


A PBEsol-optimized structure of Zr2TlH2. Source: Alexandria, functional SCAN.

Cell: 3.788 3.788 9.617 Å, 90.00 90.00 90.00°
Space group I4/mmm (No. 139)
Asymmetric unit:
Zr 0.000 0.000 0.164 x4
Tl 0.000 0.000 0.500 x2
H 0.000 0.500 0.250 x4

Calculated values
- energy (eV/atom) = -28.606


A PBEsol-optimized structure of AlTeMoI2. Source: Alexandria, functional SCAN.

Cell: 5.307 5.307 5.510 Å, 90.00 90.00 90.00°
Space group P4/mmm (No. 123)
Asymmetric unit:
Al 0.000 0.000 0.000 x1
Te 0.000 0.000 0.500 x1
Mo 0.500 0.500 0.500 x1
I 0.000 0.500 0.000 x2

Calculated values
- energy (eV/atom) = -29.976


What is the formula in the fifth record? Zr2TlH2


Copy entry 6 word for word.
A PBEsol-optimized structure of AlTeMoI2. Source: Alexandria, functional SCAN.

Cell: 5.307 5.307 5.510 Å, 90.00 90.00 90.00°
Space group P4/mmm (No. 123)
Asymmetric unit:
Al 0.000 0.000 0.000 x1
Te 0.000 0.000 0.500 x1
Mo 0.500 0.500 0.500 x1
I 0.000 0.500 0.000 x2

Calculated values
- energy (eV/atom) = -29.976